Record 1
A relaxed PmPrCoBr crystal. Source: Alexandria, functional GGA-PBE.

Values from the calculation:
DFT total energy: -5.285 eV per atom
Raw formation energy: -0.707 eV per atom
Space group: R3m (160)
N(E_F): 1.131 states/eV/f.u.

POSCAR file:
```
PmPrCoBr
1.0
1.990 1.149 7.887
-1.990 1.149 7.887
0.000 -2.298 7.887
Pm Pr Co Br
1 1 1 1
Direct
0.000 0.000 0.000 Pm
0.794 0.794 0.794 Pr
0.396 0.396 0.396 Co
0.567 0.567 0.567 Br
```

=====

Record 2
A relaxed Pm8Co3PtBr4 crystal. Source: Alexandria, functional GGA-PBE.

Values from the calculation:
DFT total energy: -5.365 eV per atom
Raw formation energy: -0.862 eV per atom
Space group: R-3m (166)
N(E_F): 6.976 states/eV/f.u.

POSCAR file:
```
Pm8Co3PtBr4
1.0
4.040 2.332 7.717
-4.040 2.332 7.717
0.000 -4.664 7.717
Pm Co Pt Br
8 3 1 4
Direct
0.217 0.738 0.738 Pm
0.231 0.231 0.231 Pm
0.262 0.262 0.783 Pm
0.262 0.783 0.262 Pm
0.738 0.217 0.738 Pm
0.738 0.738 0.217 Pm
0.769 0.769 0.769 Pm
0.783 0.262 0.262 Pm
0.000 0.000 0.500 Co
0.000 0.500 0.000 Co
0.500 0.000 0.000 Co
0.500 0.500 0.500 Pt
0.000 0.000 0.000 Br
0.000 0.500 0.500 Br
0.500 0.000 0.500 Br
0.500 0.500 0.000 Br
```

=====

Record 3
A relaxed Pm4CoPtBr2 crystal. Source: Alexandria, functional GGA-PBE.

Values from the calculation:
DFT total energy: -5.430 eV per atom
Raw formation energy: -0.993 eV per atom
Space group: P2/m (10)
N(E_F): 4.526 states/eV/f.u.

POSCAR file:
```
Pm4CoPtBr2
1.0
7.145 0.000 0.000
0.000 4.082 0.000
-2.382 0.000 7.701
Pm Co Pt Br
4 1 1 2
Direct
0.220 0.000 0.192 Pm
0.250 0.500 0.805 Pm
0.750 0.500 0.195 Pm
0.780 0.000 0.808 Pm
0.000 0.500 0.000 Co
0.500 0.000 0.000 Pt
0.000 0.000 0.500 Br
0.500 0.500 0.500 Br
```

=====

Record 4
A relaxed Pm8CoRh3Br4 crystal. Source: Alexandria, functional GGA-PBE.

Values from the calculation:
DFT total energy: -5.611 eV per atom
Raw formation energy: -0.995 eV per atom
Space group: C2/m (12)
N(E_F): 3.636 states/eV/f.u.

POSCAR file:
```
Pm8CoRh3Br4
1.0
7.041 -4.065 0.000
7.041 4.065 0.000
-4.703 0.000 7.781
Pm Co Rh Br
8 1 3 4
Direct
0.226 0.226 0.693 Pm
0.226 0.741 0.693 Pm
0.259 0.774 0.307 Pm
0.268 0.268 0.303 Pm
0.732 0.732 0.697 Pm
0.741 0.226 0.693 Pm
0.774 0.259 0.307 Pm
0.774 0.774 0.307 Pm
0.000 0.000 0.500 Co
0.000 0.500 0.500 Rh
0.500 0.000 0.500 Rh
0.500 0.500 0.500 Rh
0.000 0.000 0.000 Br
0.000 0.500 0.000 Br
0.500 0.000 0.000 Br
0.500 0.500 0.000 Br
```